Record 1
Computed, not measured: a geometry-optimized K4Br3O2 structure at the PBE level of DFT.

Output
Density: 2.4 g/cm³
DOS at the Fermi energy: 4.1 states/eV per cell
Volume: 589.5 Å³/cell
Formation energy (no corrections): -1.41 eV per atom
Total magnetization: 0.111 μB/atom

Cell lengths 8.9510, 8.9510, 8.5702 Å; angles 92.70, 92.70, 59.29 degrees
Closest atoms and distances in Å follow each position.
Element x y z (fractional)
K 0.1733 0.7183 0.9782  1 O 2.72
K 0.2097 0.3436 0.6979  2 O 2.80-2.92
K 0.2817 0.8267 0.5218  1 O 2.72
K 0.3436 0.2097 0.1979  2 O 2.80-2.92
K 0.6564 0.7903 0.8021  2 O 2.80-2.92
K 0.7183 0.1733 0.4782  1 O 2.72
K 0.7903 0.6564 0.3021  2 O 2.80-2.92
K 0.8267 0.2817 0.0218  1 O 2.72
Br 0.0245 0.2404 0.3922  6 K 3.21-3.50
Br 0.2404 0.0245 0.8922  6 K 3.21-3.50
Br 0.4775 0.5225 0.2500  6 K 3.29-3.57
Br 0.5225 0.4775 0.7500  6 K 3.29-3.57
Br 0.7596 0.9755 0.1078  6 K 3.21-3.50
Br 0.9755 0.7596 0.6078  6 K 3.21-3.50
O 0.0854 0.4723 0.0123  1 O 1.35
O 0.4723 0.0854 0.5123  1 O 1.35
O 0.5277 0.9146 0.4877  1 O 1.35
O 0.9146 0.5277 0.9877  1 O 1.35


Record 2
Computed, not measured: a geometry-optimized Hf3ScMn8 structure at the PBE level of DFT.

Output
Density: 10.0 g/cm³
DOS at the Fermi energy: 12.0 states/eV per cell
Volume: 168.9 Å³/cell
Energy of formation from the pure elements: -222.1 meV/atom
Total magnetization: 0.437 μB/atom

Cell lengths 8.5422, 8.5422, 8.5422 Å; angles 33.48, 33.48, 33.48 degrees
Closest atoms and distances in Å follow each position.
Element x y z (fractional)
Hf 0.0000 0.0000 0.0000  12 Mn 2.88-2.90, 3 Sc 3.01, 1 Hf 3.03
Hf 0.1254 0.1254 0.1254  12 Mn 2.88-2.89, 4 Hf 3.02-3.03
Hf 0.5014 0.5014 0.5014  12 Mn 2.88-2.90, 1 Sc 3.01, 3 Hf 3.02
Sc 0.6258 0.6258 0.6258  12 Mn 2.88-2.89, 4 Hf 3.01
Mn 0.0631 0.0631 0.5629  6 Mn 2.46-2.47
Mn 0.0631 0.5629 0.0631  6 Mn 2.46-2.47
Mn 0.0634 0.5632 0.5632  6 Mn 2.46-2.47
Mn 0.3132 0.3132 0.3132  6 Mn 2.47
Mn 0.5629 0.0631 0.0631  6 Mn 2.46-2.47
Mn 0.5632 0.0634 0.5632  6 Mn 2.46-2.47
Mn 0.5632 0.5632 0.0634  6 Mn 2.46-2.47
Mn 0.8132 0.8132 0.8132  6 Mn 2.46


Record 3
Computed, not measured: a geometry-optimized La2VAgC structure at the PBE level of DFT.

Output
Density: 5.7 g/cm³
DOS at the Fermi energy: 7.0 states/eV per cell
Volume: 131.6 Å³/cell
Energy of formation from the pure elements: 1478.3 meV/atom
Total magnetization: 0.415 μB/atom

Cell lengths 5.2733, 5.2733, 4.7324 Å; angles 90.00, 90.00, 90.00 degrees
Closest atoms and distances in Å follow each position.
Element x y z (fractional)
La 0.0000 0.5000 0.0000  2 V 2.64
La 0.5000 0.0000 0.0000  2 V 2.64
V 0.0000 0.0000 0.0000  2 Ag 2.37, 4 La 2.64
Ag 0.0000 0.0000 0.5000  2 V 2.37
C 0.5000 0.5000 0.5000  8 La 3.54, 4 Ag 3.73


Record 4
Computed, not measured: a geometry-optimized AlPSe structure at the PBE level of DFT.

Output
Density: 4.0 g/cm³
DOS at the Fermi energy: 2.3 states/eV per cell
Volume: 57.2 Å³/cell
Formation energy (no corrections): -0.09 eV per atom
Total magnetization: 0.000 μB/atom

Cell lengths 3.7700, 3.7700, 4.6504 Å; angles 90.00, 90.00, 120.00 degrees
Closest atoms and distances in Å follow each position.
Element x y z (fractional)
Al 0.0000 0.0000 0.0000  3 P 2.44, 3 Se 2.66
P 0.3333 0.6667 0.2381  3 Al 2.44
Se 0.6667 0.3333 0.6710  3 Al 2.66, 3 P 2.96


Record 5
Computed, not measured: a geometry-optimized Na2CuReSb structure at the PBE level of DFT.

Output
Density: 4.2 g/cm³
DOS at the Fermi energy: 3.2 states/eV per cell
Volume: 165.5 Å³/cell
Formation energy (no corrections): 1.21 eV per atom
Total magnetization: 0.477 μB/atom

Cell lengths 5.7266, 5.7266, 5.0458 Å; angles 90.00, 90.00, 90.00 degrees
Closest atoms and distances in Å follow each position.
Element x y z (fractional)
Na 0.0000 0.5000 0.0000  2 Sb 2.86
Na 0.5000 0.0000 0.0000  2 Sb 2.86
Cu 0.0000 0.0000 0.5000  8 Na 3.82, 4 Re 4.05
Re 0.5000 0.5000 0.5000  2 Sb 2.52
Sb 0.5000 0.5000 0.0000  2 Re 2.52


Record 6
Computed, not measured: a geometry-optimized Hf3Ga5O12 structure at the PBE level of DFT.

Output
Density: 7.9 g/cm³
DOS at the Fermi energy: 10.7 states/eV per cell
Volume: 906.4 Å³/cell
Formation energy (no corrections): -2.17 eV per atom
Total magnetization: 0.000 μB/atom

Cell lengths 10.5595, 10.5595, 10.5595 Å; angles 109.47, 109.47, 109.47 degrees
Closest atoms and distances in Å follow each position.
Element x y z (fractional)
Hf 0.1250 0.2500 0.3750  8 O 2.30-2.31
Hf 0.1250 0.3750 0.7500  8 O 2.30-2.31
Hf 0.2500 0.3750 0.1250  8 O 2.30-2.31
Hf 0.2500 0.8750 0.6250  8 O 2.30-2.31
Hf 0.3750 0.1250 0.2500  8 O 2.30-2.31
Hf 0.3750 0.7500 0.1250  8 O 2.30-2.31
Hf 0.6250 0.2500 0.8750  8 O 2.30-2.31
Hf 0.6250 0.8750 0.7500  8 O 2.30-2.31
Hf 0.7500 0.1250 0.3750  8 O 2.30-2.31
Hf 0.7500 0.6250 0.8750  8 O 2.30-2.31
Hf 0.8750 0.6250 0.2500  8 O 2.30-2.31
Hf 0.8750 0.7500 0.6250  8 O 2.30-2.31
Ga 0.0000 0.0000 0.0000  6 O 2.06
Ga 0.0000 0.0000 0.5000  6 O 2.06
Ga 0.0000 0.5000 0.0000  6 O 2.06
Ga 0.0000 0.5000 0.5000  6 O 2.06
Ga 0.1250 0.7500 0.8750  4 O 1.87
Ga 0.1250 0.8750 0.2500  4 O 1.87
Ga 0.2500 0.1250 0.8750  4 O 1.87
Ga 0.2500 0.6250 0.3750  4 O 1.87
Ga 0.3750 0.2500 0.6250  4 O 1.87
Ga 0.3750 0.6250 0.7500  4 O 1.87
Ga 0.5000 0.0000 0.0000  6 O 2.06
Ga 0.5000 0.0000 0.5000  6 O 2.06
Ga 0.5000 0.5000 0.0000  6 O 2.06
Ga 0.5000 0.5000 0.5000  6 O 2.06
Ga 0.6250 0.3750 0.2500  4 O 1.87
Ga 0.6250 0.7500 0.3750  4 O 1.87
Ga 0.7500 0.3750 0.6250  4 O 1.87
Ga 0.7500 0.8750 0.1250  4 O 1.87
Ga 0.8750 0.1250 0.7500  4 O 1.87
Ga 0.8750 0.2500 0.1250  4 O 1.87
O 0.0403 0.2185 0.1298  2 Ga 1.87-2.06
O 0.0403 0.3217 0.9105  2 Ga 1.87-2.06
O 0.0888 0.7185 0.6783  2 Ga 1.87-2.06
O 0.0888 0.8702 0.4105  2 Ga 1.87-2.06
O 0.0895 0.6298 0.4112  2 Ga 1.87-2.06
O 0.0895 0.9597 0.6783  2 Ga 1.87-2.06
O 0.1298 0.0403 0.2185  2 Ga 1.87-2.06
O 0.1298 0.5895 0.9112  2 Ga 1.87-2.06
O 0.1783 0.2185 0.5888  2 Ga 1.87-2.06
O 0.1783 0.4597 0.5895  2 Ga 1.87-2.06
O 0.2185 0.1298 0.0403  2 Ga 1.87-2.06
O 0.2185 0.5888 0.1783  2 Ga 1.87-2.06
O 0.2815 0.3217 0.9112  2 Ga 1.87-2.06
O 0.2815 0.4597 0.3702  2 Ga 1.87-2.06
O 0.3217 0.9105 0.0403  2 Ga 1.87-2.06
O 0.3217 0.9112 0.2815  2 Ga 1.87-2.06
O 0.3702 0.2815 0.4597  2 Ga 1.87-2.06
O 0.3702 0.5888 0.9105  2 Ga 1.87-2.06
O 0.4105 0.0888 0.8702  2 Ga 1.87-2.06
O 0.4105 0.8217 0.5403  2 Ga 1.87-2.06
O 0.4112 0.0895 0.6298  2 Ga 1.87-2.06
O 0.4112 0.8217 0.7815  2 Ga 1.87-2.06
O 0.4597 0.3702 0.2815  2 Ga 1.87-2.06
O 0.4597 0.5895 0.1783  2 Ga 1.87-2.06
O 0.5403 0.4105 0.8217  2 Ga 1.87-2.06
O 0.5403 0.6298 0.7185  2 Ga 1.87-2.06
O 0.5888 0.1783 0.2185  2 Ga 1.87-2.06
O 0.5888 0.9105 0.3702  2 Ga 1.87-2.06
O 0.5895 0.1783 0.4597  2 Ga 1.87-2.06
O 0.5895 0.9112 0.1298  2 Ga 1.87-2.06
O 0.6298 0.4112 0.0895  2 Ga 1.87-2.06
O 0.6298 0.7185 0.5403  2 Ga 1.87-2.06
O 0.6783 0.0888 0.7185  2 Ga 1.87-2.06
O 0.6783 0.0895 0.9597  2 Ga 1.87-2.06
O 0.7185 0.5403 0.6298  2 Ga 1.87-2.06
O 0.7185 0.6783 0.0888  2 Ga 1.87-2.06
O 0.7815 0.4112 0.8217  2 Ga 1.87-2.06
O 0.7815 0.8702 0.9597  2 Ga 1.87-2.06
O 0.8217 0.5403 0.4105  2 Ga 1.87-2.06
O 0.8217 0.7815 0.4112  2 Ga 1.87-2.06
O 0.8702 0.4105 0.0888  2 Ga 1.87-2.06
O 0.8702 0.9597 0.7815  2 Ga 1.87-2.06
O 0.9105 0.0403 0.3217  2 Ga 1.87-2.06
O 0.9105 0.3702 0.5888  2 Ga 1.87-2.06
O 0.9112 0.1298 0.5895  2 Ga 1.87-2.06
O 0.9112 0.2815 0.3217  2 Ga 1.87-2.06
O 0.9597 0.6783 0.0895  2 Ga 1.87-2.06
O 0.9597 0.7815 0.8702  2 Ga 1.87-2.06


Record 7
Computed, not measured: a geometry-optimized Pr2Zn3PdPt12 structure at the PBE level of DFT.

Output
Density: 13.1 g/cm³
DOS at the Fermi energy: 8.9 states/eV per cell
Volume: 371.6 Å³/cell
Energy of formation from the pure elements: -132.8 meV/atom
Total magnetization: 0.000 μB/atom

Cell lengths 8.1280, 8.1280, 8.1280 Å; angles 59.07, 59.07, 59.07 degrees
Closest atoms and distances in Å follow each position.
Element x y z (fractional)
Pr 0.1229 0.1229 0.1229  6 Pt 2.80-2.81
Pr 0.8771 0.8771 0.8771  6 Pt 2.80-2.81
Zn 0.0000 0.5000 0.5000  6 Pt 2.48-2.49
Zn 0.5000 0.0000 0.5000  6 Pt 2.48-2.49
Zn 0.5000 0.5000 0.0000  6 Pt 2.48-2.49
Pd 0.5000 0.5000 0.5000  6 Pt 2.56
Pt 0.1095 0.6315 0.6315  1 Zn 2.49, 1 Pd 2.56
Pt 0.1222 0.1222 0.6293  2 Zn 2.48
Pt 0.1222 0.6293 0.1222  2 Zn 2.48
Pt 0.3685 0.3685 0.8905  1 Zn 2.49, 1 Pd 2.56
Pt 0.3685 0.8905 0.3685  1 Zn 2.49, 1 Pd 2.56
Pt 0.3707 0.8778 0.8778  2 Zn 2.48
Pt 0.6293 0.1222 0.1222  2 Zn 2.48
Pt 0.6315 0.1095 0.6315  1 Zn 2.49, 1 Pd 2.56
Pt 0.6315 0.6315 0.1095  1 Zn 2.49, 1 Pd 2.56
Pt 0.8778 0.3707 0.8778  2 Zn 2.48
Pt 0.8778 0.8778 0.3707  2 Zn 2.48
Pt 0.8905 0.3685 0.3685  1 Zn 2.49, 1 Pd 2.56


Record 8
Computed, not measured: a geometry-optimized YTlAg2Ru structure at the PBE level of DFT.

Output
Density: 6.2 g/cm³
DOS at the Fermi energy: 3.1 states/eV per cell
Volume: 162.2 Å³/cell
Energy of formation from the pure elements: 1598.4 meV/atom
Total magnetization: 0.480 μB/atom

Cell lengths 5.3193, 5.3193, 5.7338 Å; angles 90.00, 90.00, 90.00 degrees
Closest atoms and distances in Å follow each position.
Element x y z (fractional)
Y 0.0000 0.0000 0.0000  4 Ag 2.66, 2 Tl 2.87
Tl 0.0000 0.0000 0.5000  2 Y 2.87
Ag 0.0000 0.5000 0.0000  2 Y 2.66
Ag 0.5000 0.0000 0.0000  2 Y 2.66
Ru 0.5000 0.5000 0.5000  4 Tl 3.76, 8 Ag 3.91